# LiYSe2N, optimized geometry, DFT PBE
# **Formation energy from raw total energies**: -0.99 eV per formula unit
data_LiYSe2N
_chemical_formula_sum 'Li1 Y1 Se2 N1'
_cell_length_a 5.544
_cell_length_b 5.544
_cell_length_c 4.558
_cell_angle_alpha 90.00
_cell_angle_beta 90.00
_cell_angle_gamma 90.00
_space_group_name_H-M_alt 'P 4/m m m'
_space_group_IT_number 123
_space_group_name_Hall '-P 4 2'
loop_
_atom_site_label
_atom_site_fract_x
_atom_site_fract_y
_atom_site_fract_z
Li1 0.000 0.000 0.000
Y1 0.500 0.500 0.500
Se1 0.000 0.500 0.500
N1 0.500 0.500 0.000

# V4Si2Ge, optimized geometry, DFT PBE
# **Formation energy from raw total energies**: 4.25 eV per formula unit
data_V4Si2Ge
_chemical_formula_sum 'V8 Si4 Ge2'
_cell_length_a 4.476
_cell_length_b 4.476
_cell_length_c 12.346
_cell_angle_alpha 90.00
_cell_angle_beta 90.00
_cell_angle_gamma 90.00
_space_group_name_H-M_alt 'I 4/m m m'
_space_group_IT_number 139
_space_group_name_Hall '-I 4 2'
loop_
_atom_site_label
_atom_site_fract_x
_atom_site_fract_y
_atom_site_fract_z
V1 0.000 0.000 0.196
V2 0.000 0.500 0.000
Si1 0.000 0.000 0.395
Ge1 0.000 0.000 0.000

# BaMnCr2, optimized geometry, DFT PBE
# **Energy relative to the elements**: 0.827 eV/atom
data_BaMnCr2
_chemical_formula_sum 'Ba1 Mn1 Cr2'
_cell_length_a 3.319
_cell_length_b 4.229
_cell_length_c 6.781
_cell_angle_alpha 90.00
_cell_angle_beta 90.64
_cell_angle_gamma 90.00
_space_group_name_H-M_alt 'P 1 m 1'
_space_group_IT_number 6
_space_group_name_Hall 'P -2y'
loop_
_atom_site_label
_atom_site_fract_x
_atom_site_fract_y
_atom_site_fract_z
Ba1 0.000 0.000 0.000
Mn1 0.507 0.500 0.303
Cr1 0.013 0.500 0.556
Cr2 0.509 0.000 0.542

no.,raw total energy (eV per atom)
1,-4.933
2,-6.813
3,-6.758